{"formula": "NbSbTe2Ru", "functional": "GGA-PBEsol", "state": "optimized geometry", "lattice_angstrom": [[5.247, 0.000, 0.000], [0.000, 5.247, 0.000], [0.000, 0.000, 5.288]], "species": ["Sb", "Nb", "Te", "Te", "Ru"], "fractional_positions": [[0.000, 0.000, 0.500], [0.000, 0.000, 0.000], [0.000, 0.500, 0.000], [0.500, 0.000, 0.000], [0.500, 0.500, 0.500]], "total_magnetization_mub_per_cell": 2.65, "vol_a3_per_atom": 29.12, "formation_energy_uncorrected_kj_per_mol_atoms": 118.11}